# Ba2AsSe

A relaxed Ba2AsSe crystal (PBE, Alexandria via LeMat-Bulk).

a b c (Å): 8.8204 8.8204 8.8204
angles (deg): 30.06 30.06 30.06
Fractional coordinates of all 4 atoms:
Ba  0.0000  0.0000  0.0000
Ba  0.1748  0.1748  0.1748
As  0.4197  0.4197  0.4197
Se  0.5880  0.5880  0.5880

Summary:
Volume, Å³/cell: 152.5
Crystal system: trigonal
E above lowest polymorph, meV/atom: 61
Symmetry: R3m (160)
Calculated density, Mg/m³: 4.7
Raw total energy, eV per atom: -4.31
Total magnetization, μB/atom: 0.2534